Density functional theory data (PBE-GGA) for a geometry-optimized TbScPd14 structure.

Computed properties:
Electronic total energy: -5.638 eV per atom
Calculated volume: 258.86 Å³ per cell

The structure in POSCAR format:
```
TbScPd14
1.0
5.698 0.000 0.000
0.000 5.698 0.000
0.000 0.000 7.973
Tb Sc Pd
1 1 14
Direct
0.000 0.000 0.000
0.500 0.500 0.000
0.000 0.000 0.500
0.000 0.500 0.000
0.000 0.500 0.500
0.253 0.253 0.254
0.253 0.253 0.746
0.253 0.747 0.254
0.253 0.747 0.746
0.500 0.000 0.000
0.500 0.000 0.500
0.500 0.500 0.500
0.747 0.253 0.254
0.747 0.253 0.746
0.747 0.747 0.254
0.747 0.747 0.746
```